A relaxed structure of PaPdBr6, computed with GGA-PBE.

Unit cell a=8.014 b=12.272 c=7.280 alpha=90.00 beta=117.05 gamma=90.00
Space group C2/m (No. 12)
Symmetry-distinct sites (fractional):
Pa: 0.000 0.000 0.000 x2
Pd: 0.000 0.000 0.500 x2
Br: 0.000 0.159 0.267 x8
Br: 0.124 0.500 0.813 x4

Properties
ΔE to the lowest computed polymorph = 0 meV/atom

***

A relaxed structure of NaLaN2F, computed with GGA-PBE.

Unit cell a=4.265 b=4.265 c=3.996 alpha=90.00 beta=90.00 gamma=90.00
Space group P4/mmm (No. 123)
Symmetry-distinct sites (fractional):
Na: 0.000 0.000 0.000 x1
La: 0.500 0.500 0.500 x1
N: 0.000 0.500 0.000 x2
F: 0.000 0.000 0.500 x1

Properties
ΔE to the lowest computed polymorph = 224 meV/atom

***

A relaxed structure of HfZn5Cu2, computed with GGA-PBE.

Unit cell a=2.951 b=8.117 c=9.954 alpha=90.00 beta=90.00 gamma=90.00
Space group Immm (No. 71)
Symmetry-distinct sites (fractional):
Hf: 0.000 0.000 0.000 x2
Zn: 0.000 0.225 0.365 x8
Zn: 0.000 0.500 0.000 x2
Cu: 0.000 0.500 0.254 x4

Properties
E_form = -0.12 eV per atom

***

A relaxed structure of LaAuC2, computed with GGA-PBE.

Unit cell a=4.553 b=4.553 c=13.471 alpha=90.00 beta=90.00 gamma=90.00
Space group I-42d (No. 122)
Symmetry-distinct sites (fractional):
La: 0.000 0.000 0.000 x4
Au: 0.000 0.000 0.500 x4
C: 0.141 0.250 0.625 x8

Properties
E_form = 1.03 eV per atom

***

A relaxed structure of TiNb4Ru, computed with GGA-PBE.

Unit cell a=3.239 b=3.239 c=9.840 alpha=90.00 beta=90.00 gamma=90.00
Space group P4/mmm (No. 123)
Symmetry-distinct sites (fractional):
Ti: 0.000 0.000 0.000 x1
Nb: 0.000 0.000 0.338 x2
Nb: 0.500 0.500 0.168 x2
Ru: 0.500 0.500 0.500 x1

Properties
E_form = -0.10 eV per atom

***

A relaxed structure of Dy2Si3, computed with GGA-PBE.

Unit cell a=3.873 b=4.002 c=13.747 alpha=90.00 beta=90.00 gamma=90.00
Space group Imm2 (No. 44)
Symmetry-distinct sites (fractional):
Dy: 0.000 0.000 0.000 x2
Dy: 0.000 0.500 0.255 x2
Si: 0.000 0.000 0.430 x2
Si: 0.000 0.500 0.660 x2
Si: 0.000 0.500 0.829 x2

Properties
ΔE to the lowest computed polymorph = 52 meV/atom

***

A relaxed structure of Si2RuPb, computed with GGA-PBE.

Unit cell a=3.0969 b=3.0969 c=27.1665 alpha=90.00 beta=90.00 gamma=120.00
Space group R-3m (No. 166, hexagonal axes)
Symmetry-distinct sites (fractional):
Si: 0.0000 0.0000 0.2302 x6
Ru: 0.0000 0.0000 0.5000 x3
Pb: 0.0000 0.0000 0.0000 x3

Properties
E = -69.939 eV per cell

***

A relaxed structure of Nb6GaCo, computed with GGA-PBE.

Unit cell a=7.2751 b=7.2751 c=8.9151 alpha=90.00 beta=90.00 gamma=120.00
Space group R-3 (No. 148, hexagonal axes)
Symmetry-distinct sites (fractional):
Nb: 0.0029 0.7511 0.2523 x18
Ga: 0.0000 0.0000 0.0000 x3
Co: 0.0000 0.0000 0.5000 x3

Properties
E_form = -0.13 eV per atom

***

A relaxed structure of HgSb2W, computed with GGA-PBE.

Unit cell a=3.609 b=4.704 c=5.529 alpha=90.00 beta=108.90 gamma=90.00
Space group Pm (No. 6)
Symmetry-distinct sites (fractional):
Hg: 0.000 0.000 0.000 x1
Sb: 0.266 0.000 0.530 x1
Sb: 0.546 0.500 0.094 x1
W: 0.832 0.500 0.665 x1

Properties
E = -19.090 eV per cell

***

A relaxed structure of KTaNb2Br, computed with GGA-PBE.

Unit cell a=4.925 b=4.925 c=6.204 alpha=90.00 beta=90.00 gamma=90.00
Space group P4/mmm (No. 123)
Symmetry-distinct sites (fractional):
K: 0.000 0.000 0.000 x1
Ta: 0.500 0.500 0.500 x1
Nb: 0.000 0.500 0.500 x2
Br: 0.500 0.500 0.000 x1

Properties
E = -29.030 eV per cell

***

A relaxed structure of BaCrPb, computed with GGA-PBE.

Unit cell a=7.420 b=7.420 c=7.420 alpha=90.00 beta=90.00 gamma=90.00
Space group F-43m (No. 216)
Symmetry-distinct sites (fractional):
Ba: 0.000 0.000 0.000 x4
Cr: 0.250 0.250 0.750 x4
Pb: 0.000 0.000 0.500 x4

Properties
E_form = 0.30 eV per atom
ΔE to the lowest computed polymorph = 197 meV/atom

***

A relaxed structure of TaTiS2, computed with GGA-PBE.

Unit cell a=6.140 b=6.140 c=6.140 alpha=90.00 beta=90.00 gamma=90.00
Space group Fm-3m (No. 225)
Symmetry-distinct sites (fractional):
Ta: 0.000 0.000 0.000 x4
Ti: 0.000 0.000 0.500 x4
S: 0.250 0.250 0.250 x8

Properties
ΔE to the lowest computed polymorph = 0 meV/atom

***

A relaxed structure of La5Dy2YHo, computed with GGA-PBE.

Unit cell a=5.517 b=21.868 c=10.596 alpha=90.00 beta=90.00 gamma=90.00
Space group Cmc2_1 (No. 36)
Symmetry-distinct sites (fractional):
La: 0.000 0.000 0.000 x4
La: 0.000 0.123 0.250 x4
La: 0.000 0.220 0.941 x4
La: 0.000 0.221 0.561 x4
La: 0.000 0.499 0.250 x4
Dy: 0.000 0.386 0.502 x4
Dy: 0.000 0.386 0.998 x4
Y: 0.000 0.101 0.750 x4
Ho: 0.000 0.290 0.251 x4

Properties
E_form = 0.13 eV per atom

***

A relaxed structure of NiSn3Cl, computed with GGA-PBE.

Unit cell a=5.037 b=5.037 c=5.037 alpha=90.00 beta=90.00 gamma=90.00
Space group Pm-3m (No. 221)
Symmetry-distinct sites (fractional):
Ni: 0.000 0.000 0.000 x1
Sn: 0.000 0.000 0.500 x3
Cl: 0.500 0.500 0.500 x1

Properties
ΔE to the lowest computed polymorph = 0 meV/atom

***

A relaxed structure of CeGeB, computed with GGA-PBE.

Unit cell a=3.6599 b=3.6599 c=4.3604 alpha=90.00 beta=90.00 gamma=120.00
Space group P3m1 (No. 156)
Symmetry-distinct sites (fractional):
Ce: 0.0000 0.0000 0.0000 x1
Ge: 0.6667 0.3333 0.5003 x1
B: 0.3333 0.6667 0.4982 x1

Properties
E_form = -0.46 eV per atom
ΔE to the lowest computed polymorph = 0 meV/atom

***

A relaxed structure of Nd8Cd2Co, computed with GGA-PBE.

Unit cell a=17.849 b=5.611 c=7.033 alpha=90.00 beta=110.32 gamma=90.00
Space group C2/m (No. 12)
Symmetry-distinct sites (fractional):
Nd: 0.014 0.000 0.281 x4
Nd: 0.093 0.500 0.908 x4
Nd: 0.145 0.500 0.436 x4
Nd: 0.201 0.000 0.768 x4
Cd: 0.181 0.000 0.201 x4
Co: 0.000 0.500 0.500 x2

Properties
E_form = -0.08 eV per atom

***

A relaxed structure of Pr2PuCdO8, computed with GGA-PBE.

Unit cell a=4.314 b=7.754 c=5.446 alpha=90.00 beta=96.52 gamma=90.00
Space group P2/m (No. 10)
Symmetry-distinct sites (fractional):
Pr: 0.000 0.243 0.000 x2
Pu: 0.500 0.500 0.500 x1
Cd: 0.500 0.000 0.500 x1
O: 0.094 0.500 0.285 x2
O: 0.124 0.000 0.235 x2
O: 0.426 0.306 0.731 x4

Properties
E = -92.771 eV per cell

***

A relaxed structure of LiTa3Sn, computed with GGA-PBE.

Unit cell a=4.467 b=4.467 c=4.467 alpha=90.00 beta=90.00 gamma=90.00
Space group Pm-3m (No. 221)
Symmetry-distinct sites (fractional):
Li: 0.000 0.000 0.000 x1
Ta: 0.000 0.000 0.500 x3
Sn: 0.500 0.500 0.500 x1

Properties
E_form = 0.87 eV per atom
ΔE to the lowest computed polymorph = 0 meV/atom

***

A relaxed structure of MgIn2Ag, computed with GGA-PBE.

Unit cell a=6.237 b=8.841 c=3.211 alpha=90.00 beta=90.00 gamma=90.00
Space group Cmmm (No. 65)
Symmetry-distinct sites (fractional):
Mg: 0.000 0.000 0.000 x2
In: 0.250 0.250 0.500 x4
Ag: 0.000 0.500 0.000 x2

Properties
E_form = -0.03 eV per atom

***

A relaxed structure of EuHo2Pb, computed with GGA-PBE.

Unit cell a=4.956 b=4.956 c=4.835 alpha=90.00 beta=90.00 gamma=90.00
Space group P4/mmm (No. 123)
Symmetry-distinct sites (fractional):
Eu: 0.000 0.000 0.000 x1
Ho: 0.000 0.500 0.500 x2
Pb: 0.500 0.500 0.000 x1

Properties
E_form = -0.25 eV per atom
ΔE to the lowest computed polymorph = 0 meV/atom

***

A relaxed structure of AgGe2H, computed with GGA-PBE.

Unit cell a=6.294 b=6.294 c=6.294 alpha=90.00 beta=90.00 gamma=90.00
Space group Fm-3m (No. 225)
Symmetry-distinct sites (fractional):
Ag: 0.000 0.000 0.000 x4
Ge: 0.250 0.250 0.250 x8
H: 0.000 0.000 0.500 x4

Properties
ΔE to the lowest computed polymorph = 65 meV/atom

***

A relaxed structure of LiHf2GeH, computed with GGA-PBE.

Unit cell a=4.283 b=4.283 c=3.952 alpha=90.00 beta=90.00 gamma=90.00
Space group P4/mmm (No. 123)
Symmetry-distinct sites (fractional):
Li: 0.000 0.000 0.000 x1
Hf: 0.000 0.500 0.500 x2
Ge: 0.500 0.500 0.000 x1
H: 0.000 0.000 0.500 x1

Properties
E = -31.415 eV per cell

***

A relaxed structure of Sr3TaHg, computed with GGA-PBE.

Unit cell a=6.065 b=6.065 c=6.065 alpha=90.00 beta=90.00 gamma=90.00
Space group Pm-3m (No. 221)
Symmetry-distinct sites (fractional):
Sr: 0.000 0.000 0.500 x3
Ta: 0.500 0.500 0.500 x1
Hg: 0.000 0.000 0.000 x1

Properties
E_form = 0.90 eV per atom
ΔE to the lowest computed polymorph = 14 meV/atom

***

A relaxed structure of KTi3Cr, computed with GGA-PBE.

Unit cell a=4.429 b=4.429 c=4.429 alpha=90.00 beta=90.00 gamma=90.00
Space group Pm-3m (No. 221)
Symmetry-distinct sites (fractional):
K: 0.000 0.000 0.000 x1
Ti: 0.000 0.000 0.500 x3
Cr: 0.500 0.500 0.500 x1

Properties
E_form = 2.27 eV per atom
ΔE to the lowest computed polymorph = 1381 meV/atom